1.
A geometry-optimized Nd3IrI2 structure, computed with PBE.

Values from the calculation:
The calculation puts the formation energy without anion corrections at -0.9116 eV per atom.

a = 4.130 Å, b = 6.208 Å, c = 8.490 Å
α = 111.44°, β = 104.08°, γ = 90.00°
Fractional coordinates of all 6 atoms:
Ir  0.000  0.500  0.000
I  0.316  0.816  0.632
I  0.684  0.184  0.368
Nd  0.620  0.620  0.240
Nd  0.000  0.000  0.000
Nd  0.380  0.380  0.760

***

2.
A geometry-optimized YGaBr structure, computed with PBE.

Values from the calculation:
The calculation puts the formation energy without anion corrections at -0.9562 eV per atom.

a = 12.583 Å, b = 4.983 Å, c = 4.982 Å
α = 90.00°, β = 89.93°, γ = 90.00°
Fractional coordinates of all 12 atoms:
Br  0.652  0.000  0.252
Br  0.348  0.500  0.248
Br  0.348  0.000  0.748
Br  0.652  0.500  0.752
Y  0.208  0.500  0.749
Y  0.792  0.000  0.751
Y  0.792  0.500  0.251
Y  0.208  0.000  0.249
Ga  0.051  0.500  0.249
Ga  0.949  0.500  0.751
Ga  0.949  0.000  0.251
Ga  0.051  0.000  0.749

***

3.
A geometry-optimized Dy4Ho2Al structure, computed with PBE.

Values from the calculation:
The energy of formation from the pure elements is -0.27 eV/f.u.

a = 3.595 Å, b = 3.595 Å, c = 18.902 Å
α = 84.54°, β = 84.54°, γ = 60.00°
Fractional coordinates of all 7 atoms:
Ho  0.192  0.192  0.425
Ho  0.808  0.808  0.575
Dy  0.092  0.092  0.725
Dy  0.908  0.908  0.275
Dy  0.293  0.293  0.120
Dy  0.707  0.707  0.880
Al  0.000  0.000  0.000

***

4.
A geometry-optimized GaSnIrS2 structure, computed with PBE.

Values from the calculation:
The calculation puts the formation energy without anion corrections at -0.1998 eV per atom. For the distance to the lowest polymorph of the same formula, the calculation gives 0.253 eV/atom.

a = 3.463 Å, b = 7.140 Å, c = 4.801 Å
α = 90.00°, β = 111.37°, γ = 90.00°
Fractional coordinates of all 5 atoms:
S  0.122  0.269  0.687
S  0.122  0.731  0.687
Ga  0.361  0.500  0.153
Sn  0.339  0.000  0.112
Ir  0.637  0.500  0.717

***

5.
A geometry-optimized ZrBe6Ir2 structure, computed with PBE.

Values from the calculation:
The energy of formation from the pure elements is -3.30 eV/f.u.

a = 3.159 Å, b = 6.380 Å, c = 6.380 Å
α = 56.68°, β = 75.67°, γ = 75.67°
Fractional coordinates of all 9 atoms:
Be  0.683  0.614  0.020
Be  0.317  0.386  0.980
Be  0.500  0.335  0.665
Be  0.683  0.020  0.614
Be  0.500  0.665  0.335
Be  0.317  0.980  0.386
Zr  0.000  0.000  0.000
Ir  0.866  0.634  0.634
Ir  0.134  0.366  0.366

***

6.
A geometry-optimized Nd2Sm5Er4 structure, computed with PBE.

Values from the calculation:
For the distance to the lowest polymorph of the same formula, the calculation gives 0.000 eV/atom. The energy of formation from the pure elements is 0.21 eV/f.u.

a = 3.593 Å, b = 8.801 Å, c = 11.925 Å
α = 104.21°, β = 98.66°, γ = 90.00°
Fractional coordinates of all 11 atoms:
Sm  0.227  0.813  0.454
Sm  0.500  0.000  0.000
Sm  0.773  0.187  0.546
Sm  0.137  0.094  0.273
Sm  0.863  0.906  0.727
Er  0.953  0.636  0.907
Er  0.318  0.546  0.636
Er  0.682  0.454  0.364
Er  0.047  0.364  0.093
Nd  0.590  0.724  0.180
Nd  0.410  0.276  0.820

***

| no. | total DFT energy (no corrections) (eV/atom) |
| --- | --- |
| 1 | -5.2891 |
| 2 | -4.6775 |
| 3 | -4.5106 |
| 4 | -5.0289 |
| 5 | -5.7698 |
| 6 | -4.6518 |